No. 1
DFT (GGA-PBE) results for an optimized crystal structure of Ho8Ge3PtSe4.

E_tot, eV/atom: -5.784
Symmetry: R-3m, No. 166
Formation energy from raw total energies, meV per atom: -1381
N(E_F), states/eV/f.u.: 5.86

a b c (Å): 8.271 8.271 8.271
angles (deg): 59.22 59.22 59.22
Positions (direct):
Ho  0.245  0.745  0.745
Ho  0.246  0.246  0.246
Ho  0.255  0.255  0.755
Ho  0.255  0.755  0.255
Ho  0.745  0.245  0.745
Ho  0.745  0.745  0.245
Ho  0.754  0.754  0.754
Ho  0.755  0.255  0.255
Ge  0.000  0.000  0.500
Ge  0.000  0.500  0.000
Ge  0.500  0.000  0.000
Pt  0.500  0.500  0.500
Se  0.000  0.000  0.000
Se  0.000  0.500  0.500
Se  0.500  0.000  0.500
Se  0.500  0.500  0.000

---

No. 2
DFT (GGA-PBE) results for an optimized crystal structure of Ho2Si3GePt4.

E_tot, eV/atom: -6.444
Symmetry: P-4m2, No. 115
Formation energy from raw total energies, meV per atom: -1023
N(E_F), states/eV/f.u.: 6.77

a b c (Å): 4.224 4.224 9.919
angles (deg): 90.00 90.00 90.00
Positions (direct):
Ho  0.000  0.500  0.249
Ho  0.500  0.000  0.751
Si  0.000  0.500  0.870
Si  0.500  0.000  0.130
Si  0.500  0.500  0.500
Ge  0.000  0.000  0.500
Pt  0.000  0.000  0.000
Pt  0.000  0.500  0.632
Pt  0.500  0.000  0.368
Pt  0.500  0.500  0.000

---

No. 3
DFT (GGA-PBE) results for an optimized crystal structure of HoSi2Ge2Pt7.

E_tot, eV/atom: -6.203
Symmetry: C2/m, No. 12
Formation energy from raw total energies, meV per atom: -624
N(E_F), states/eV/f.u.: 4.18

a b c (Å): 3.930 3.930 14.566
angles (deg): 94.36 94.36 89.79
Positions (direct):
Ho  0.000  0.000  0.000
Si  0.427  0.427  0.750
Si  0.573  0.573  0.250
Ge  0.152  0.152  0.423
Ge  0.848  0.848  0.577
Pt  0.046  0.545  0.154
Pt  0.401  0.401  0.589
Pt  0.455  0.954  0.846
Pt  0.500  0.500  0.000
Pt  0.545  0.046  0.154
Pt  0.599  0.599  0.411
Pt  0.954  0.455  0.846

---

No. 4
DFT (GGA-PBE) results for an optimized crystal structure of Ho2SiGe3Pt4.

E_tot, eV/atom: -6.160
Symmetry: P-4m2, No. 115
Formation energy from raw total energies, meV per atom: -900
N(E_F), states/eV/f.u.: 6.83

a b c (Å): 4.286 4.286 10.007
angles (deg): 90.00 90.00 90.00
Positions (direct):
Ho  0.000  0.500  0.248
Ho  0.500  0.000  0.752
Si  0.500  0.500  0.000
Ge  0.000  0.000  0.000
Ge  0.000  0.500  0.636
Ge  0.500  0.000  0.364
Pt  0.000  0.000  0.500
Pt  0.000  0.500  0.879
Pt  0.500  0.000  0.121
Pt  0.500  0.500  0.500

---

No. 5
DFT (GGA-PBE) results for an optimized crystal structure of Sm2HoGe4Pt3.

E_tot, eV/atom: -5.959
Symmetry: P-4m2, No. 115
Formation energy from the elements, meV/atom: -898
N(E_F), states/eV/f.u.: 3.88

a b c (Å): 4.273 4.273 11.342
angles (deg): 90.00 90.00 90.00
Positions (direct):
Sm  0.000  0.500  0.233
Sm  0.500  0.000  0.767
Ho  0.000  0.000  0.500
Ge  0.000  0.000  0.000
Ge  0.000  0.500  0.662
Ge  0.500  0.000  0.338
Ge  0.500  0.500  0.000
Pt  0.000  0.500  0.880
Pt  0.500  0.000  0.120
Pt  0.500  0.500  0.500

---

No. 6
DFT (GGA-PBE) results for an optimized crystal structure of SmHo2Ge2Pt7.

E_tot, eV/atom: -6.395
Symmetry: C2/m, No. 12
Formation energy from the elements, meV/atom: -946
N(E_F), states/eV/f.u.: 4.80

a b c (Å): 4.073 4.073 14.100
angles (deg): 96.83 96.83 89.30
Positions (direct):
Sm  0.000  0.000  0.000
Ho  0.129  0.129  0.360
Ho  0.871  0.871  0.640
Ge  0.392  0.392  0.739
Ge  0.608  0.608  0.261
Pt  0.066  0.566  0.159
Pt  0.359  0.359  0.566
Pt  0.434  0.934  0.841
Pt  0.500  0.500  0.000
Pt  0.566  0.066  0.159
Pt  0.641  0.641  0.434
Pt  0.934  0.434  0.841

---

No. 7
DFT (GGA-PBE) results for an optimized crystal structure of Sm2HoGe3Pt4.

E_tot, eV/atom: -6.168
Symmetry: P-4m2, No. 115
Formation energy from the elements, meV/atom: -965
N(E_F), states/eV/f.u.: 8.23

a b c (Å): 4.279 4.279 11.210
angles (deg): 90.00 90.00 90.00
Positions (direct):
Sm  0.000  0.500  0.221
Sm  0.500  0.000  0.779
Ho  0.000  0.000  0.500
Ge  0.000  0.500  0.875
Ge  0.500  0.000  0.125
Ge  0.500  0.500  0.500
Pt  0.000  0.000  0.000
Pt  0.000  0.500  0.656
Pt  0.500  0.000  0.344
Pt  0.500  0.500  0.000

---

No. 8
DFT (GGA-PBE) results for an optimized crystal structure of HoSn2Ge2Pt7.

E_tot, eV/atom: -5.967
Symmetry: C2/m, No. 12
Formation energy from the elements, meV/atom: -625
N(E_F), states/eV/f.u.: 3.34

a b c (Å): 3.946 3.946 15.885
angles (deg): 97.07 97.07 90.01
Positions (direct):
Ho  0.000  0.000  0.000
Sn  0.213  0.213  0.426
Sn  0.787  0.787  0.574
Ge  0.382  0.382  0.761
Ge  0.618  0.618  0.239
Pt  0.070  0.570  0.141
Pt  0.301  0.301  0.604
Pt  0.430  0.930  0.859
Pt  0.500  0.500  0.000
Pt  0.570  0.070  0.141
Pt  0.699  0.699  0.396
Pt  0.930  0.430  0.859

---

No. 9
DFT (GGA-PBE) results for an optimized crystal structure of SrHoGe2Pt5.

E_tot, eV/atom: -5.676
Symmetry: P4/mmm, No. 123
Formation energy from the elements, meV/atom: -598
N(E_F), states/eV/f.u.: 2.68

a b c (Å): 4.848 4.848 8.360
angles (deg): 90.00 90.00 90.00
Positions (direct):
Sr  0.000  0.000  0.000
Ho  0.000  0.000  0.500
Ge  0.500  0.500  0.290
Ge  0.500  0.500  0.710
Pt  0.000  0.500  0.314
Pt  0.000  0.500  0.686
Pt  0.500  0.000  0.314
Pt  0.500  0.000  0.686
Pt  0.500  0.500  0.000

---

No. 10
DFT (GGA-PBE) results for an optimized crystal structure of Sr2HoGe3Pt4.

E_tot, eV/atom: -5.480
Symmetry: P-4m2, No. 115
Formation energy from the elements, meV/atom: -884
N(E_F), states/eV/f.u.: 4.38

a b c (Å): 4.424 4.424 10.968
angles (deg): 90.00 90.00 90.00
Positions (direct):
Sr  0.000  0.500  0.232
Sr  0.500  0.000  0.768
Ho  0.000  0.000  0.500
Ge  0.000  0.500  0.882
Ge  0.500  0.000  0.118
Ge  0.500  0.500  0.500
Pt  0.000  0.000  0.000
Pt  0.000  0.500  0.654
Pt  0.500  0.000  0.346
Pt  0.500  0.500  0.000

---

No. 11
DFT (GGA-PBE) results for an optimized crystal structure of Ho2TaGe3Pt4.

E_tot, eV/atom: -6.741
Symmetry: P-4m2, No. 115
Formation energy from the elements, meV/atom: -838
N(E_F), states/eV/f.u.: 7.04

a b c (Å): 4.167 4.167 10.930
angles (deg): 90.00 90.00 90.00
Positions (direct):
Ho  0.000  0.500  0.231
Ho  0.500  0.000  0.769
Ta  0.000  0.000  0.500
Ge  0.000  0.500  0.862
Ge  0.500  0.000  0.138
Ge  0.500  0.500  0.500
Pt  0.000  0.000  0.000
Pt  0.000  0.500  0.640
Pt  0.500  0.000  0.360
Pt  0.500  0.500  0.000

---

No. 12
DFT (GGA-PBE) results for an optimized crystal structure of TbHo2Ge3Pt4.

E_tot, eV/atom: -6.105
Symmetry: P-4m2, No. 115
Formation energy from the elements, meV/atom: -925
N(E_F), states/eV/f.u.: 6.68

a b c (Å): 4.180 4.180 11.491
angles (deg): 90.00 90.00 90.00
Positions (direct):
Tb  0.000  0.000  0.000
Ho  0.000  0.500  0.721
Ho  0.500  0.000  0.279
Ge  0.000  0.500  0.373
Ge  0.500  0.000  0.627
Ge  0.500  0.500  0.000
Pt  0.000  0.000  0.500
Pt  0.000  0.500  0.162
Pt  0.500  0.000  0.838
Pt  0.500  0.500  0.500

---

No. 13
DFT (GGA-PBE) results for an optimized crystal structure of Ho6GeTe3Pt2.

E_tot, eV/atom: -5.670
Symmetry: C2/m, No. 12
Formation energy from raw total energies, meV per atom: -1204
N(E_F), states/eV/f.u.: 7.96

a b c (Å): 7.197 7.197 7.638
angles (deg): 99.14 99.14 120.15
Positions (direct):
Ho  0.090  0.429  0.783
Ho  0.233  0.233  0.216
Ho  0.429  0.090  0.783
Ho  0.571  0.910  0.217
Ho  0.767  0.767  0.784
Ho  0.910  0.571  0.217
Ge  0.500  0.500  0.000
Te  0.000  0.000  0.500
Te  0.336  0.664  0.500
Te  0.664  0.336  0.500
Pt  0.167  0.833  0.000
Pt  0.833  0.167  0.000

---

No. 14
DFT (GGA-PBE) results for an optimized crystal structure of Ho8Ge3Te4Pt.

E_tot, eV/atom: -5.491
Symmetry: R-3m, No. 166
Formation energy from raw total energies, meV per atom: -1173
N(E_F), states/eV/f.u.: 6.19

a b c (Å): 8.589 8.589 8.589
angles (deg): 58.65 58.65 58.65
Positions (direct):
Ho  0.239  0.739  0.739
Ho  0.240  0.240  0.240
Ho  0.261  0.261  0.761
Ho  0.261  0.761  0.261
Ho  0.739  0.239  0.739
Ho  0.739  0.739  0.239
Ho  0.760  0.760  0.760
Ho  0.761  0.261  0.261
Ge  0.000  0.000  0.500
Ge  0.000  0.500  0.000
Ge  0.500  0.000  0.000
Te  0.000  0.000  0.000
Te  0.000  0.500  0.500
Te  0.500  0.000  0.500
Te  0.500  0.500  0.000
Pt  0.500  0.500  0.500

---

No. 15
DFT (GGA-PBE) results for an optimized crystal structure of Ho2TiGe3Pt4.

E_tot, eV/atom: -6.436
Symmetry: P-4m2, No. 115
Formation energy from the elements, meV/atom: -930
N(E_F), states/eV/f.u.: 9.24

a b c (Å): 4.093 4.093 11.114
angles (deg): 90.00 90.00 90.00
Positions (direct):
Ho  0.000  0.500  0.233
Ho  0.500  0.000  0.767
Ti  0.000  0.000  0.500
Ge  0.000  0.500  0.860
Ge  0.500  0.000  0.140
Ge  0.500  0.500  0.500
Pt  0.000  0.000  0.000
Pt  0.000  0.500  0.641
Pt  0.500  0.000  0.359
Pt  0.500  0.500  0.000

---

No. 16
DFT (GGA-PBE) results for an optimized crystal structure of Ho2TmGe3Pt4.

E_tot, eV/atom: -6.114
Symmetry: P-4m2, No. 115
Formation energy from the elements, meV/atom: -950
N(E_F), states/eV/f.u.: 6.80

a b c (Å): 4.154 4.154 11.467
angles (deg): 90.00 90.00 90.00
Positions (direct):
Ho  0.000  0.500  0.223
Ho  0.500  0.000  0.777
Tm  0.000  0.000  0.500
Ge  0.000  0.500  0.871
Ge  0.500  0.000  0.129
Ge  0.500  0.500  0.500
Pt  0.000  0.000  0.000
Pt  0.000  0.500  0.658
Pt  0.500  0.000  0.342
Pt  0.500  0.500  0.000

---

No. 17
DFT (GGA-PBE) results for an optimized crystal structure of Ho2ZnGe4Pt3.

E_tot, eV/atom: -5.488
Symmetry: P-4m2, No. 115
Formation energy from the elements, meV/atom: -786
N(E_F), states/eV/f.u.: 3.10

a b c (Å): 4.134 4.134 10.899
angles (deg): 90.00 90.00 90.00
Positions (direct):
Ho  0.000  0.500  0.240
Ho  0.500  0.000  0.760
Zn  0.500  0.500  0.000
Ge  0.000  0.000  0.500
Ge  0.000  0.500  0.860
Ge  0.500  0.000  0.140
Ge  0.500  0.500  0.500
Pt  0.000  0.000  0.000
Pt  0.000  0.500  0.636
Pt  0.500  0.000  0.364

---

No. 18
DFT (GGA-PBE) results for an optimized crystal structure of Ho2ZnGe3Pt4.

E_tot, eV/atom: -5.711
Symmetry: P-4m2, No. 115
Formation energy from the elements, meV/atom: -866
N(E_F), states/eV/f.u.: 4.41

a b c (Å): 4.211 4.211 10.467
angles (deg): 90.00 90.00 90.00
Positions (direct):
Ho  0.000  0.500  0.245
Ho  0.500  0.000  0.755
Zn  0.500  0.500  0.000
Ge  0.000  0.000  0.000
Ge  0.000  0.500  0.634
Ge  0.500  0.000  0.366
Pt  0.000  0.000  0.500
Pt  0.000  0.500  0.863
Pt  0.500  0.000  0.137
Pt  0.500  0.500  0.500

---

No. 19
DFT (GGA-PBE) results for an optimized crystal structure of HoPuGe4.

E_tot, eV/atom: -6.539
Symmetry: F-43m, No. 216
Formation energy from the elements, meV/atom: -309
N(E_F), states/eV/f.u.: 4.53

a b c (Å): 5.578 5.578 5.578
angles (deg): 60.00 60.00 60.00
Positions (direct):
Ho  0.000  0.000  0.000
Pu  0.250  0.250  0.250
Ge  0.125  0.625  0.625
Ge  0.625  0.125  0.625
Ge  0.625  0.625  0.125
Ge  0.625  0.625  0.625

---

No. 20
DFT (GGA-PBE) results for an optimized crystal structure of HoPu4Ge3.

E_tot, eV/atom: -9.923
Symmetry: I4/mcm, No. 140
Formation energy from the elements, meV/atom: -453
N(E_F), states/eV/f.u.: 27.58

a b c (Å): 8.301 8.301 8.301
angles (deg): 123.30 123.30 84.37
Positions (direct):
Ho  0.000  0.000  0.000
Ho  0.500  0.500  0.000
Pu  0.002  0.502  0.193
Pu  0.191  0.998  0.500
Pu  0.309  0.809  0.807
Pu  0.498  0.691  0.500
Pu  0.502  0.309  0.500
Pu  0.691  0.191  0.193
Pu  0.809  0.002  0.500
Pu  0.998  0.498  0.807
Ge  0.149  0.351  0.500
Ge  0.250  0.250  0.000
Ge  0.351  0.851  0.201
Ge  0.649  0.149  0.799
Ge  0.750  0.750  0.000
Ge  0.851  0.649  0.500

---

No. 21
DFT (GGA-PBE) results for an optimized crystal structure of HoPuGe.

E_tot, eV/atom: -8.395
Symmetry: P4/nmm, No. 129
Formation energy from the elements, meV/atom: -552
N(E_F), states/eV/f.u.: 6.07

a b c (Å): 4.155 4.155 8.321
angles (deg): 90.00 90.00 90.00
Positions (direct):
Ho  0.250  0.250  0.143
Ho  0.750  0.750  0.857
Pu  0.250  0.750  0.500
Pu  0.750  0.250  0.500
Ge  0.250  0.250  0.780
Ge  0.750  0.750  0.220

---

No. 22
DFT (GGA-PBE) results for an optimized crystal structure of HoPuGe.

E_tot, eV/atom: -8.123
Symmetry: C2/m, No. 12
Formation energy from the elements, meV/atom: -281
N(E_F), states/eV/f.u.: 8.04

a b c (Å): 8.252 8.252 5.290
angles (deg): 97.73 97.73 24.82
Positions (direct):
Ho  0.215  0.215  0.234
Ho  0.785  0.785  0.766
Pu  0.078  0.078  0.689
Pu  0.922  0.922  0.311
Ge  0.434  0.434  0.813
Ge  0.566  0.566  0.187